No. 1
Below is an optimized crystal structure of LaAlTl2, with properties calculated at the PBE level.

**VASP energy**: -3.453 eV per atom
**DOS at the Fermi energy**: 2.13 states/eV per cell
**Calculated formation energy**: -103 meV/atom
**Spin magnetization**: 0.000 μB/atom
**Offset from the most stable computed form**: 0.173 eV/atom

Structure (CIF):
```
data_LaAlTl2
_cell_length_a 5.3794
_cell_length_b 5.3794
_cell_length_c 5.3794
_cell_angle_alpha 60.00
_cell_angle_beta 60.00
_cell_angle_gamma 60.00
_space_group_name_H-M_alt 'P 1'
_space_group_IT_number 1
_space_group_name_Hall 'P 1'
loop_
_atom_site_label
_atom_site_type_symbol
_atom_site_fract_x
_atom_site_fract_y
_atom_site_fract_z
_atom_site_occupancy
La1 La 0.0000 0.0000 0.0000 1
Al1 Al 0.7500 0.7500 0.7500 1
Tl1 Tl 0.2500 0.2500 0.2500 1
Tl2 Tl 0.5000 0.5000 0.5000 1
```

***

No. 2
Below is an optimized crystal structure of NdMgNi4H6, with properties calculated at the PBE level.

**VASP energy**: -4.432 eV per atom
**DOS at the Fermi energy**: 4.31 states/eV per cell
**Spin magnetization**: 0.000 μB/atom

Structure (CIF):
```
data_NdMgNi4H6
_cell_length_a 4.3998
_cell_length_b 4.3998
_cell_length_c 6.6869
_cell_angle_alpha 90.00
_cell_angle_beta 90.00
_cell_angle_gamma 120.00
_space_group_name_H-M_alt 'P 1'
_space_group_IT_number 1
_space_group_name_Hall 'P 1'
loop_
_atom_site_label
_atom_site_type_symbol
_atom_site_fract_x
_atom_site_fract_y
_atom_site_fract_z
_atom_site_occupancy
Nd1 Nd 0.0000 0.0000 0.0000 1
Mg1 Mg 0.0000 0.0000 0.5000 1
Ni1 Ni 0.3333 0.6667 0.3200 1
Ni2 Ni 0.3333 0.6667 0.6800 1
Ni3 Ni 0.6667 0.3333 0.3200 1
Ni4 Ni 0.6667 0.3333 0.6800 1
H1 H 0.0000 0.5000 0.1708 1
H2 H 0.0000 0.5000 0.8292 1
H3 H 0.5000 0.0000 0.1708 1
H4 H 0.5000 0.0000 0.8292 1
H5 H 0.5000 0.5000 0.1708 1
H6 H 0.5000 0.5000 0.8292 1
```

***

No. 3
Below is an optimized crystal structure of Ta2CN, with properties calculated at the PBE level.

**VASP energy**: -11.071 eV per atom
**Formation energy (no corrections)**: -292 kJ/mol of formula units
**DOS at the Fermi energy**: 1.97 states/eV per cell
**Spin magnetization**: 0.000 μB/atom
**Offset from the most stable computed form**: 0.020 eV/atom

Structure (CIF):
```
data_Ta2CN
_cell_length_a 6.9546
_cell_length_b 6.9546
_cell_length_c 4.3902
_cell_angle_alpha 90.00
_cell_angle_beta 90.00
_cell_angle_gamma 153.68
_space_group_name_H-M_alt 'P 1'
_space_group_IT_number 1
_space_group_name_Hall 'P 1'
loop_
_atom_site_label
_atom_site_type_symbol
_atom_site_fract_x
_atom_site_fract_y
_atom_site_fract_z
_atom_site_occupancy
Ta1 Ta 0.0793 0.9207 0.7500 1
Ta2 Ta 0.3050 0.6950 0.7500 1
Ta3 Ta 0.6950 0.3050 0.2500 1
Ta4 Ta 0.9207 0.0793 0.2500 1
C1 C 0.3115 0.6885 0.2500 1
C2 C 0.6885 0.3115 0.7500 1
N1 N 0.0796 0.9204 0.2500 1
N2 N 0.9204 0.0796 0.7500 1
```

***

Among the records above, which one has the lowest VASP energy? Ta2CN

***

What did the second record say?
Below is an optimized crystal structure of NdMgNi4H6, with properties calculated at the PBE level.

**VASP energy**: -4.432 eV per atom
**DOS at the Fermi energy**: 4.31 states/eV per cell
**Spin magnetization**: 0.000 μB/atom

Structure (CIF):
```
data_NdMgNi4H6
_cell_length_a 4.3998
_cell_length_b 4.3998
_cell_length_c 6.6869
_cell_angle_alpha 90.00
_cell_angle_beta 90.00
_cell_angle_gamma 120.00
_space_group_name_H-M_alt 'P 1'
_space_group_IT_number 1
_space_group_name_Hall 'P 1'
loop_
_atom_site_label
_atom_site_type_symbol
_atom_site_fract_x
_atom_site_fract_y
_atom_site_fract_z
_atom_site_occupancy
Nd1 Nd 0.0000 0.0000 0.0000 1
Mg1 Mg 0.0000 0.0000 0.5000 1
Ni1 Ni 0.3333 0.6667 0.3200 1
Ni2 Ni 0.3333 0.6667 0.6800 1
Ni3 Ni 0.6667 0.3333 0.3200 1
Ni4 Ni 0.6667 0.3333 0.6800 1
H1 H 0.0000 0.5000 0.1708 1
H2 H 0.0000 0.5000 0.8292 1
H3 H 0.5000 0.0000 0.1708 1
H4 H 0.5000 0.0000 0.8292 1
H5 H 0.5000 0.5000 0.1708 1
H6 H 0.5000 0.5000 0.8292 1
```

***

Number 2 is which compound? NdMgNi4H6